Model a:
Entry from Alexandria: CoIr2Os at its PBEsol-relaxed geometry (meta-GGA SCAN). Values from VASP.

Geometry as Quantum ESPRESSO input:
```
&SYSTEM
  ibrav = 0, nat = 4, ntyp = 3
/
ATOMIC_SPECIES
Os 190.23 Os.upf
Ir 192.22 Ir.upf
Co 58.93 Co.upf
ATOMIC_POSITIONS angstrom
Os -1.2153 0.5358 -0.1211
Ir 0.1613 0.8452 2.1214
Ir -0.9301 -2.0900 0.0867
Co -1.9840 -0.7090 2.0871
CELL_PARAMETERS angstrom
-2.4305 1.0715 -0.2421
-1.8601 -4.1801 0.1735
0.3227 1.6905 4.2428
```

Results
- Density: 19.94 g/cm³
- Crystal system: orthorhombic
- Total magnetic moment: 1.91 μB/f.u.

Model b:
Entry from Alexandria: CoIr2Os at its PBEsol-relaxed geometry (meta-GGA SCAN). Values from VASP.

Geometry as Quantum ESPRESSO input:
```
&SYSTEM
  ibrav = 0, nat = 4, ntyp = 3
/
ATOMIC_SPECIES
Os 190.23 Os.upf
Ir 192.22 Ir.upf
Co 58.93 Co.upf
ATOMIC_POSITIONS angstrom
Os -0.0756 1.1785 -0.6184
Ir -3.7062 0.6482 -1.1853
Ir -2.1115 0.3197 0.8672
Co -1.5540 -0.8557 -1.4408
CELL_PARAMETERS angstrom
-0.1511 2.3570 -1.2368
-3.1079 -1.7114 -2.8816
-2.5587 0.3223 3.8003
```

Results
- Density: 19.96 g/cm³
- Crystal system: monoclinic
- Total magnetic moment: 1.58 μB/f.u.

model b ends up most stable, edging out the next structure by 2.7 kJ/mol of atoms.

Model a:
Entry from Alexandria: LiTiMnO4 at its PBEsol-relaxed geometry (meta-GGA SCAN). Values from VASP.

Geometry as Quantum ESPRESSO input:
```
&SYSTEM
  ibrav = 0, nat = 28, ntyp = 4
/
ATOMIC_SPECIES
Mn 54.94 Mn.upf
O 16.00 O.upf
Li 6.94 Li.upf
Ti 47.87 Ti.upf
ATOMIC_POSITIONS angstrom
Mn 4.5771 4.5771 0.8902
Mn 4.5771 1.5960 2.6707
Mn 1.5960 4.5771 6.2315
Mn 1.5960 1.5960 4.4511
O 4.5366 3.3379 3.4311
O 1.6510 0.1743 6.8497
O 1.6366 2.8353 6.9919
O 3.3379 4.5366 5.4711
O 1.6510 5.9989 3.8329
O 1.6366 3.3379 3.6907
O 5.9989 1.6510 5.0693
O 5.9989 4.5222 5.6133
O 4.5366 2.8353 0.1298
O 2.8353 4.5366 1.6506
O 4.5222 0.1743 0.2720
O 0.1743 1.6510 2.0524
O 2.8353 1.6366 1.9102
O 4.5222 5.9989 3.2889
O 3.3379 1.6366 5.2115
O 0.1743 4.5222 1.5084
Li 1.3415 0.0000 1.7804
Li 0.0000 1.3415 0.0000
Li 0.0000 4.8317 3.5609
Li 4.8317 0.0000 5.3413
Ti 4.8346 3.0866 5.3413
Ti 1.3386 3.0866 1.7804
Ti 3.0866 1.3386 0.0000
Ti 3.0866 4.8346 3.5609
CELL_PARAMETERS angstrom
6.1732 0.0000 0.0000
0.0000 6.1732 0.0000
0.0000 0.0000 7.1217
```

Results
- Density: 4.25 g/cm³
- Crystal system: tetragonal
- Total magnetic moment: 4.00 μB/f.u.

Model b:
Entry from Alexandria: LiTiMnO4 at its PBEsol-relaxed geometry (meta-GGA SCAN). Values from VASP.

Geometry as Quantum ESPRESSO input:
```
&SYSTEM
  ibrav = 0, nat = 14, ntyp = 4
/
ATOMIC_SPECIES
O 16.00 O.upf
Ti 47.87 Ti.upf
Li 6.94 Li.upf
Mn 54.94 Mn.upf
ATOMIC_POSITIONS angstrom
O 1.9231 2.4676 6.1968
O -0.1213 0.5011 6.3112
O -0.3842 -1.1890 8.3149
O 2.9090 3.1237 1.3212
O 0.9038 1.4166 1.3978
O 0.6017 -0.5329 3.4393
O 2.6460 1.4336 3.3249
O 1.6210 0.5181 8.2383
Ti 2.2072 1.8578 -0.0225
Ti -0.2280 -1.8386 2.2116
Li -0.4593 0.7299 4.3874
Li 2.9841 1.2048 5.2487
Mn 1.9791 0.0193 2.1892
Mn 1.4904 2.8059 2.6064
CELL_PARAMETERS angstrom
-0.4561 -3.6771 4.4232
4.4143 3.7157 -0.0449
-1.4334 1.8961 5.2578
```

Results
- Density: 4.22 g/cm³
- Crystal system: orthorhombic
- Total magnetic moment: 1.99 μB/f.u.

model b ends up most stable, edging out the next structure by 2.7 kJ/mol of atoms.

Model a:
Entry from Alexandria: CrAgCl2 at its PBEsol-relaxed geometry (meta-GGA SCAN). Values from VASP.

Geometry as Quantum ESPRESSO input:
```
&SYSTEM
  ibrav = 0, nat = 4, ntyp = 3
/
ATOMIC_SPECIES
Cl 35.45 Cl.upf
Cr 52.00 Cr.upf
Ag 107.87 Ag.upf
ATOMIC_POSITIONS angstrom
Cl -2.8017 -0.6086 0.3088
Cl 0.0000 0.0000 0.0000
Cr -8.4052 -1.8257 0.9263
Ag -5.6034 -1.2171 0.6175
CELL_PARAMETERS angstrom
-4.3781 1.4739 -0.9135
-3.3841 -3.1287 -0.9660
-3.4447 -0.7794 3.1146
```

Results
- Density: 5.19 g/cm³
- Crystal system: cubic
- Total magnetic moment: 4.95 μB/f.u.

Model b:
Entry from Alexandria: CrAgCl2 at its PBEsol-relaxed geometry (meta-GGA SCAN). Values from VASP.

Geometry as Quantum ESPRESSO input:
```
&SYSTEM
  ibrav = 0, nat = 4, ntyp = 3
/
ATOMIC_SPECIES
Cr 52.00 Cr.upf
Cl 35.45 Cl.upf
Ag 107.87 Ag.upf
ATOMIC_POSITIONS angstrom
Cr -2.5563 0.1227 -0.4585
Cl -1.5863 -3.0346 0.3051
Cl 0.0000 0.0000 0.0000
Ag -1.7701 -1.5567 2.4363
CELL_PARAMETERS angstrom
-2.7401 1.6006 1.6727
-2.3726 -1.3552 -2.5897
-0.8001 -4.7139 3.1999
```

Results
- Density: 4.93 g/cm³
- Crystal system: orthorhombic
- Total magnetic moment: 4.84 μB/f.u.

model b ends up most stable, edging out the next structure by 39.5 kJ/mol of atoms.

Model a:
Entry from Alexandria: Re3RhS at its PBEsol-relaxed geometry (meta-GGA SCAN). Values from VASP.

Geometry as Quantum ESPRESSO input:
```
&SYSTEM
  ibrav = 0, nat = 5, ntyp = 3
/
ATOMIC_SPECIES
Re 186.21 Re.upf
Rh 102.91 Rh.upf
S 32.06 S.upf
ATOMIC_POSITIONS angstrom
Re 0.0000 2.3083 0.0000
Re 2.3083 0.0000 0.0000
Re 0.0000 0.0000 2.3083
Rh 0.0000 0.0000 0.0000
S 2.3083 2.3083 2.3083
CELL_PARAMETERS angstrom
4.6166 0.0000 0.0000
0.0000 4.6166 0.0000
0.0000 0.0000 4.6166
```

Results
- Density: 11.71 g/cm³
- Crystal system: cubic
- Total magnetic moment: 2.35 μB/f.u.

Model b:
Entry from Alexandria: Re3RhS at its PBEsol-relaxed geometry (meta-GGA SCAN). Values from VASP.

Geometry as Quantum ESPRESSO input:
```
&SYSTEM
  ibrav = 0, nat = 5, ntyp = 3
/
ATOMIC_SPECIES
Re 186.21 Re.upf
Rh 102.91 Rh.upf
S 32.06 S.upf
ATOMIC_POSITIONS angstrom
Re -0.1769 -1.8286 1.0833
Re 2.1169 -0.0546 0.2535
Re 0.1896 -1.0962 -1.8196
Rh 2.1296 -2.9794 -0.4828
S 0.0000 0.0000 0.0000
CELL_PARAMETERS angstrom
-0.3537 -3.6572 2.1665
0.3792 -2.1925 -3.6391
4.2338 -0.1092 0.5069
```

Results
- Density: 14.84 g/cm³
- Crystal system: cubic
- Total magnetic moment: 0.00 μB/f.u.

model b ends up most stable, edging out the next structure by 149.2 kJ/mol of atoms.

Model a:
Entry from Alexandria: In at its PBEsol-relaxed geometry (meta-GGA SCAN). Values from VASP.

Geometry as Quantum ESPRESSO input:
```
&SYSTEM
  ibrav = 0, nat = 4, ntyp = 1
/
ATOMIC_SPECIES
In 114.82 In.upf
ATOMIC_POSITIONS angstrom
In 0.9583 -4.0048 1.3970
In -0.3667 -5.1186 -0.8873
In 0.3194 -1.3349 0.4657
In 1.7888 -1.8245 -1.9459
CELL_PARAMETERS angstrom
-4.1193 -1.7382 -2.1571
4.2638 0.1347 -2.5387
1.2777 -5.3397 1.8626
```

Results
- Density: 6.16 g/cm³
- Crystal system: hexagonal
- Total magnetic moment: 0.00 μB/f.u.

Model b:
Entry from Alexandria: In at its PBEsol-relaxed geometry (meta-GGA SCAN). Values from VASP.

Geometry as Quantum ESPRESSO input:
```
&SYSTEM
  ibrav = 0, nat = 4, ntyp = 1
/
ATOMIC_SPECIES
In 114.82 In.upf
ATOMIC_POSITIONS angstrom
In 4.7871 -2.5912 -0.0200
In 2.6957 -2.8280 -2.1522
In 2.1993 -2.1593 3.8184
In 0.1079 -2.3961 1.6862
CELL_PARAMETERS angstrom
-0.9530 -2.0813 4.4899
0.9485 -3.0241 -3.9185
4.8995 0.1182 1.0947
```

Results
- Density: 6.82 g/cm³
- Crystal system: orthorhombic
- Total magnetic moment: 0.00 μB/f.u.

model b ends up most stable, edging out the next structure by 13.9 kJ/mol of atoms.